[1]
! Ta4AlZnN2 PBE-GGA optimized geometry; values from VASP
! theoretical density	12.60	g cm⁻³
! E_tot	-73.62	eV per cell
! space-group type	P-6m2, No. 187
&SYSTEM
  ibrav = 0, nat = 8, ntyp = 4
/
ATOMIC_SPECIES
Ta 180.95 Ta.upf
Al 26.98 Al.upf
Zn 65.41 Zn.upf
N 14.01 N.upf
CELL_PARAMETERS angstrom
2.980 0.000 0.000
-1.490 2.580 0.000
0.000 0.000 14.467
ATOMIC_POSITIONS crystal
Ta 0.000 0.000 0.155
Ta 0.000 0.000 0.845
Ta 0.333 0.667 0.345
Ta 0.333 0.667 0.655
Al 0.333 0.667 0.000
Zn 0.000 0.000 0.500
N 0.667 0.333 0.250
N 0.667 0.333 0.750

[2]
! Zr2Ta4Al3N3 PBE-GGA optimized geometry; values from VASP
! theoretical density	9.71	g cm⁻³
! E_tot	-221.01	eV per cell
! space-group type	C2/c, No. 15
&SYSTEM
  ibrav = 0, nat = 24, ntyp = 4
/
ATOMIC_SPECIES
Zr 91.22 Zr.upf
Ta 180.95 Ta.upf
Al 26.98 Al.upf
N 14.01 N.upf
CELL_PARAMETERS angstrom
4.696 -2.714 0.000
4.696 2.714 0.000
-3.244 0.000 13.807
ATOMIC_POSITIONS crystal
Zr 0.039 0.875 0.615
Zr 0.125 0.961 0.885
Zr 0.875 0.039 0.115
Zr 0.961 0.125 0.385
Ta 0.192 0.360 0.081
Ta 0.303 0.477 0.419
Ta 0.360 0.192 0.581
Ta 0.477 0.303 0.919
Ta 0.523 0.697 0.081
Ta 0.640 0.808 0.419
Ta 0.697 0.523 0.581
Ta 0.808 0.640 0.919
Al 0.085 0.395 0.750
Al 0.395 0.085 0.250
Al 0.432 0.568 0.250
Al 0.568 0.432 0.750
Al 0.605 0.915 0.750
Al 0.915 0.605 0.250
N 0.000 0.500 0.500
N 0.157 0.686 0.000
N 0.314 0.843 0.500
N 0.500 0.000 0.000
N 0.686 0.157 0.500
N 0.843 0.314 0.000

[3]
! Tb3AlN PBE-GGA optimized geometry; values from VASP
! theoretical density	7.81	g cm⁻³
! E_tot	-30.48	eV per cell
! space-group type	Pm-3m, No. 221
&SYSTEM
  ibrav = 0, nat = 5, ntyp = 3
/
ATOMIC_SPECIES
Tb 158.93 Tb.upf
Al 26.98 Al.upf
N 14.01 N.upf
CELL_PARAMETERS angstrom
4.793 0.000 0.000
0.000 4.793 0.000
0.000 0.000 4.793
ATOMIC_POSITIONS crystal
Tb 0.000 0.000 0.500
Tb 0.000 0.500 0.000
Tb 0.500 0.000 0.000
Al 0.500 0.500 0.500
N 0.000 0.000 0.000

[4]
! AlW4N3 PBE-GGA optimized geometry; values from VASP
! theoretical density	14.49	g cm⁻³
! E_tot	-159.99	eV per cell
! space-group type	P6_3/mmc, No. 194
&SYSTEM
  ibrav = 0, nat = 16, ntyp = 3
/
ATOMIC_SPECIES
Al 26.98 Al.upf
W 183.84 W.upf
N 14.01 N.upf
CELL_PARAMETERS angstrom
2.826 0.000 0.000
-1.413 2.447 0.000
0.000 0.000 26.662
ATOMIC_POSITIONS crystal
Al 0.333 0.667 0.250
Al 0.667 0.333 0.750
W 0.000 0.000 0.166
W 0.000 0.000 0.334
W 0.000 0.000 0.666
W 0.000 0.000 0.834
W 0.333 0.667 0.056
W 0.333 0.667 0.444
W 0.667 0.333 0.556
W 0.667 0.333 0.944
N 0.000 0.000 0.000
N 0.000 0.000 0.500
N 0.333 0.667 0.613
N 0.333 0.667 0.887
N 0.667 0.333 0.113
N 0.667 0.333 0.387

[5]
! Y2Al3W4N3 PBE-GGA optimized geometry; values from VASP
! theoretical density	9.74	g cm⁻³
! E_tot	-213.30	eV per cell
! space-group type	C2/c, No. 15
&SYSTEM
  ibrav = 0, nat = 24, ntyp = 4
/
ATOMIC_SPECIES
Y 88.91 Y.upf
Al 26.98 Al.upf
W 183.84 W.upf
N 14.01 N.upf
CELL_PARAMETERS angstrom
4.761 -2.767 0.000
4.761 2.767 0.000
-3.233 0.000 13.406
ATOMIC_POSITIONS crystal
Y 0.040 0.875 0.618
Y 0.125 0.960 0.882
Y 0.875 0.040 0.118
Y 0.960 0.125 0.382
Al 0.085 0.405 0.750
Al 0.405 0.085 0.250
Al 0.425 0.575 0.250
Al 0.575 0.425 0.750
Al 0.595 0.915 0.750
Al 0.915 0.595 0.250
W 0.194 0.365 0.077
W 0.312 0.467 0.424
W 0.365 0.194 0.577
W 0.467 0.312 0.924
W 0.533 0.688 0.076
W 0.635 0.806 0.423
W 0.688 0.533 0.576
W 0.806 0.635 0.923
N 0.000 0.500 0.500
N 0.159 0.683 0.000
N 0.317 0.841 0.500
N 0.500 0.000 0.000
N 0.683 0.159 0.500
N 0.841 0.317 0.000

[6]
! AlZnW4N2 PBE-GGA optimized geometry; values from VASP
! theoretical density	13.77	g cm⁻³
! E_tot	-73.22	eV per cell
! space-group type	P-6m2, No. 187
&SYSTEM
  ibrav = 0, nat = 8, ntyp = 4
/
ATOMIC_SPECIES
Al 26.98 Al.upf
Zn 65.41 Zn.upf
W 183.84 W.upf
N 14.01 N.upf
CELL_PARAMETERS angstrom
2.829 0.000 0.000
-1.414 2.450 0.000
0.000 0.000 14.891
ATOMIC_POSITIONS crystal
Al 0.000 0.000 0.000
Zn 0.333 0.667 0.500
W 0.000 0.000 0.348
W 0.000 0.000 0.652
W 0.333 0.667 0.152
W 0.333 0.667 0.848
N 0.667 0.333 0.250
N 0.667 0.333 0.750

[7]
! Y4AlZnN2 PBE-GGA optimized geometry; values from VASP
! theoretical density	4.93	g cm⁻³
! E_tot	-54.65	eV per cell
! space-group type	P-6m2, No. 187
&SYSTEM
  ibrav = 0, nat = 8, ntyp = 4
/
ATOMIC_SPECIES
Y 88.91 Y.upf
Al 26.98 Al.upf
Zn 65.41 Zn.upf
N 14.01 N.upf
CELL_PARAMETERS angstrom
3.500 0.000 0.000
-1.750 3.031 0.000
0.000 0.000 15.113
ATOMIC_POSITIONS crystal
Y 0.000 0.000 0.155
Y 0.000 0.000 0.845
Y 0.667 0.333 0.335
Y 0.667 0.333 0.665
Al 0.000 0.000 0.500
Zn 0.667 0.333 0.000
N 0.333 0.667 0.247
N 0.333 0.667 0.753

[8]
! Y4Zr2Al3N3 PBE-GGA optimized geometry; values from VASP
! theoretical density	4.87	g cm⁻³
! E_tot	-182.50	eV per cell
! space-group type	C2/c, No. 15
&SYSTEM
  ibrav = 0, nat = 24, ntyp = 4
/
ATOMIC_SPECIES
Y 88.91 Y.upf
Zr 91.22 Zr.upf
Al 26.98 Al.upf
N 14.01 N.upf
CELL_PARAMETERS angstrom
5.153 -2.977 0.000
5.153 2.977 0.000
-3.490 0.000 14.696
ATOMIC_POSITIONS crystal
Y 0.036 0.194 0.095
Y 0.129 0.302 0.405
Y 0.194 0.036 0.595
Y 0.302 0.129 0.905
Y 0.698 0.871 0.095
Y 0.806 0.964 0.405
Y 0.871 0.698 0.595
Y 0.964 0.806 0.905
Zr 0.354 0.526 0.078
Zr 0.474 0.646 0.422
Zr 0.526 0.354 0.578
Zr 0.646 0.474 0.922
Al 0.149 0.851 0.250
Al 0.318 0.416 0.751
Al 0.416 0.318 0.251
Al 0.584 0.682 0.749
Al 0.682 0.584 0.249
Al 0.851 0.149 0.750
N 0.000 0.500 0.000
N 0.178 0.661 0.500
N 0.339 0.822 0.000
N 0.500 0.000 0.500
N 0.661 0.178 0.000
N 0.822 0.339 0.500

[9]
! Zr4AlZnN2 PBE-GGA optimized geometry; values from VASP
! theoretical density	6.13	g cm⁻³
! E_tot	-63.98	eV per cell
! space-group type	P-6m2, No. 187
&SYSTEM
  ibrav = 0, nat = 8, ntyp = 4
/
ATOMIC_SPECIES
Zr 91.22 Zr.upf
Al 26.98 Al.upf
Zn 65.41 Zn.upf
N 14.01 N.upf
CELL_PARAMETERS angstrom
3.273 0.000 0.000
-1.636 2.834 0.000
0.000 0.000 14.173
ATOMIC_POSITIONS crystal
Zr 0.000 0.000 0.160
Zr 0.000 0.000 0.840
Zr 0.667 0.333 0.338
Zr 0.667 0.333 0.662
Al 0.000 0.000 0.500
Zn 0.667 0.333 0.000
N 0.333 0.667 0.248
N 0.333 0.667 0.752

[10]
! Zr4AlN3 PBE-GGA optimized geometry; values from VASP
! theoretical density	6.29	g cm⁻³
! E_tot	-148.15	eV per cell
! space-group type	P6_3/mmc, No. 194
&SYSTEM
  ibrav = 0, nat = 16, ntyp = 3
/
ATOMIC_SPECIES
Zr 91.22 Zr.upf
Al 26.98 Al.upf
N 14.01 N.upf
CELL_PARAMETERS angstrom
3.249 0.000 0.000
-1.625 2.814 0.000
0.000 0.000 25.059
ATOMIC_POSITIONS crystal
Zr 0.000 0.000 0.157
Zr 0.000 0.000 0.343
Zr 0.000 0.000 0.657
Zr 0.000 0.000 0.843
Zr 0.333 0.667 0.055
Zr 0.333 0.667 0.445
Zr 0.667 0.333 0.555
Zr 0.667 0.333 0.945
Al 0.333 0.667 0.250
Al 0.667 0.333 0.750
N 0.000 0.000 0.000
N 0.000 0.000 0.500
N 0.333 0.667 0.606
N 0.333 0.667 0.894
N 0.667 0.333 0.106
N 0.667 0.333 0.394

[11]
! NaNbAl PBE-GGA optimized geometry; values from VASP
! theoretical density	3.79	g cm⁻³
! E_tot	-10.93	eV per cell
! space-group type	F-43m, No. 216
&SYSTEM
  ibrav = 0, nat = 3, ntyp = 3
/
ATOMIC_SPECIES
Na 22.99 Na.upf
Nb 92.91 Nb.upf
Al 26.98 Al.upf
CELL_PARAMETERS angstrom
0.000 3.153 3.153
3.153 0.000 3.153
3.153 3.153 0.000
ATOMIC_POSITIONS crystal
Na 0.000 0.000 0.000
Nb 0.250 0.250 0.250
Al 0.750 0.750 0.750

[12]
! Na2Nb2AlSiOs2 PBE-GGA optimized geometry; values from VASP
! theoretical density	8.87	g cm⁻³
! E_tot	-53.82	eV per cell
! space-group type	P-4m2, No. 115
&SYSTEM
  ibrav = 0, nat = 8, ntyp = 5
/
ATOMIC_SPECIES
Na 22.99 Na.upf
Nb 92.91 Nb.upf
Al 26.98 Al.upf
Si 28.09 Si.upf
Os 190.23 Os.upf
CELL_PARAMETERS angstrom
4.454 0.000 0.000
0.000 4.454 0.000
0.000 0.000 6.301
ATOMIC_POSITIONS crystal
Na 0.000 0.500 0.249
Na 0.500 0.000 0.751
Nb 0.000 0.000 0.000
Nb 0.500 0.500 0.500
Al 0.000 0.000 0.500
Si 0.500 0.500 0.000
Os 0.000 0.500 0.755
Os 0.500 0.000 0.245

[13]
! Na2TaNbAl2Os2 PBE-GGA optimized geometry; values from VASP
! theoretical density	9.77	g cm⁻³
! E_tot	-53.51	eV per cell
! space-group type	P-4m2, No. 115
&SYSTEM
  ibrav = 0, nat = 8, ntyp = 5
/
ATOMIC_SPECIES
Na 22.99 Na.upf
Ta 180.95 Ta.upf
Nb 92.91 Nb.upf
Al 26.98 Al.upf
Os 190.23 Os.upf
CELL_PARAMETERS angstrom
4.492 0.000 0.000
0.000 4.492 0.000
0.000 0.000 6.353
ATOMIC_POSITIONS crystal
Na 0.000 0.500 0.249
Na 0.500 0.000 0.751
Ta 0.000 0.000 0.500
Nb 0.500 0.500 0.000
Al 0.000 0.000 0.000
Al 0.500 0.500 0.500
Os 0.000 0.500 0.748
Os 0.500 0.000 0.252

[14]
! Na2NbAl2Os2W PBE-GGA optimized geometry; values from VASP
! theoretical density	10.05	g cm⁻³
! E_tot	-54.19	eV per cell
! space-group type	P-4m2, No. 115
&SYSTEM
  ibrav = 0, nat = 8, ntyp = 5
/
ATOMIC_SPECIES
Na 22.99 Na.upf
Nb 92.91 Nb.upf
Al 26.98 Al.upf
Os 190.23 Os.upf
W 183.84 W.upf
CELL_PARAMETERS angstrom
4.456 0.000 0.000
0.000 4.456 0.000
0.000 0.000 6.299
ATOMIC_POSITIONS crystal
Na 0.000 0.500 0.249
Na 0.500 0.000 0.751
Nb 0.500 0.500 0.000
Al 0.000 0.000 0.000
Al 0.500 0.500 0.500
Os 0.000 0.500 0.739
Os 0.500 0.000 0.261
W 0.000 0.000 0.500

[15]
! NaAlNiPb PBE-GGA optimized geometry; values from VASP
! excess energy over the best structure of this formula in the dataset	0	kJ/mol of formula units
! theoretical density	7.16	g cm⁻³
! E_tot	-13.68	eV per cell
! space-group type	F-43m, No. 216
&SYSTEM
  ibrav = 0, nat = 4, ntyp = 4
/
ATOMIC_SPECIES
Na 22.99 Na.upf
Al 26.98 Al.upf
Ni 58.69 Ni.upf
Pb 207.20 Pb.upf
CELL_PARAMETERS angstrom
0.000 3.321 3.321
3.321 0.000 3.321
3.321 3.321 0.000
ATOMIC_POSITIONS crystal
Na 0.000 0.000 0.000
Al 0.250 0.250 0.250
Ni 0.500 0.500 0.500
Pb 0.750 0.750 0.750

[16]
! NaAlNiPb PBE-GGA optimized geometry; values from VASP
! excess energy over the best structure of this formula in the dataset	62	kJ/mol of formula units
! theoretical density	6.62	g cm⁻³
! E_tot	-13.03	eV per cell
! space-group type	F-43m, No. 216
&SYSTEM
  ibrav = 0, nat = 4, ntyp = 4
/
ATOMIC_SPECIES
Na 22.99 Na.upf
Al 26.98 Al.upf
Ni 58.69 Ni.upf
Pb 207.20 Pb.upf
CELL_PARAMETERS angstrom
0.000 3.410 3.410
3.410 0.000 3.410
3.410 3.410 0.000
ATOMIC_POSITIONS crystal
Na 0.000 0.000 0.000
Al 0.750 0.750 0.750
Ni 0.250 0.250 0.250
Pb 0.500 0.500 0.500

[17]
! Na2Zr2Al2NiPt PBE-GGA optimized geometry; values from VASP
! theoretical density	6.60	g cm⁻³
! E_tot	-41.06	eV per cell
! space-group type	P-4m2, No. 115
&SYSTEM
  ibrav = 0, nat = 8, ntyp = 5
/
ATOMIC_SPECIES
Na 22.99 Na.upf
Zr 91.22 Zr.upf
Al 26.98 Al.upf
Ni 58.69 Ni.upf
Pt 195.08 Pt.upf
CELL_PARAMETERS angstrom
4.566 0.000 0.000
0.000 4.566 0.000
0.000 0.000 6.476
ATOMIC_POSITIONS crystal
Na 0.000 0.000 0.000
Na 0.500 0.500 0.500
Zr 0.000 0.500 0.740
Zr 0.500 0.000 0.260
Al 0.000 0.500 0.253
Al 0.500 0.000 0.747
Ni 0.000 0.000 0.500
Pt 0.500 0.500 0.000

[18]
! NaAlNiSn PBE-GGA optimized geometry; values from VASP
! excess energy over the best structure of this formula in the dataset	0	kJ/mol of formula units
! theoretical density	5.47	g cm⁻³
! E_tot	-14.45	eV per cell
! space-group type	F-43m, No. 216
&SYSTEM
  ibrav = 0, nat = 4, ntyp = 4
/
ATOMIC_SPECIES
Na 22.99 Na.upf
Al 26.98 Al.upf
Ni 58.69 Ni.upf
Sn 118.71 Sn.upf
CELL_PARAMETERS angstrom
0.000 3.255 3.255
3.255 0.000 3.255
3.255 3.255 0.000
ATOMIC_POSITIONS crystal
Na 0.000 0.000 0.000
Al 0.250 0.250 0.250
Ni 0.500 0.500 0.500
Sn 0.750 0.750 0.750

[19]
! NaAlNiSn PBE-GGA optimized geometry; values from VASP
! excess energy over the best structure of this formula in the dataset	52	kJ/mol of formula units
! theoretical density	5.22	g cm⁻³
! E_tot	-13.91	eV per cell
! space-group type	F-43m, No. 216
&SYSTEM
  ibrav = 0, nat = 4, ntyp = 4
/
ATOMIC_SPECIES
Na 22.99 Na.upf
Al 26.98 Al.upf
Ni 58.69 Ni.upf
Sn 118.71 Sn.upf
CELL_PARAMETERS angstrom
0.000 3.306 3.306
3.306 0.000 3.306
3.306 3.306 0.000
ATOMIC_POSITIONS crystal
Na 0.000 0.000 0.000
Al 0.750 0.750 0.750
Ni 0.250 0.250 0.250
Sn 0.500 0.500 0.500

[20]
! NaAlNiSn PBE-GGA optimized geometry; values from VASP
! excess energy over the best structure of this formula in the dataset	49	kJ/mol of formula units
! theoretical density	5.24	g cm⁻³
! E_tot	-13.94	eV per cell
! space-group type	F-43m, No. 216
&SYSTEM
  ibrav = 0, nat = 4, ntyp = 4
/
ATOMIC_SPECIES
Na 22.99 Na.upf
Al 26.98 Al.upf
Ni 58.69 Ni.upf
Sn 118.71 Sn.upf
CELL_PARAMETERS angstrom
0.000 3.304 3.304
3.304 0.000 3.304
3.304 3.304 0.000
ATOMIC_POSITIONS crystal
Na 0.000 0.000 0.000
Al 0.500 0.500 0.500
Ni 0.250 0.250 0.250
Sn 0.750 0.750 0.750

[21]
! NaZrAlNi PBE-GGA optimized geometry; values from VASP
! excess energy over the best structure of this formula in the dataset	0	kJ/mol of formula units
! theoretical density	5.10	g cm⁻³
! E_tot	-19.34	eV per cell
! space-group type	F-43m, No. 216
&SYSTEM
  ibrav = 0, nat = 4, ntyp = 4
/
ATOMIC_SPECIES
Na 22.99 Na.upf
Zr 91.22 Zr.upf
Al 26.98 Al.upf
Ni 58.69 Ni.upf
CELL_PARAMETERS angstrom
0.000 3.193 3.193
3.193 0.000 3.193
3.193 3.193 0.000
ATOMIC_POSITIONS crystal
Na 0.000 0.000 0.000
Zr 0.750 0.750 0.750
Al 0.250 0.250 0.250
Ni 0.500 0.500 0.500

[22]
! NaZrAlNi PBE-GGA optimized geometry; values from VASP
! excess energy over the best structure of this formula in the dataset	63	kJ/mol of formula units
! theoretical density	4.67	g cm⁻³
! E_tot	-18.68	eV per cell
! space-group type	F-43m, No. 216
&SYSTEM
  ibrav = 0, nat = 4, ntyp = 4
/
ATOMIC_SPECIES
Na 22.99 Na.upf
Zr 91.22 Zr.upf
Al 26.98 Al.upf
Ni 58.69 Ni.upf
CELL_PARAMETERS angstrom
0.000 3.288 3.288
3.288 0.000 3.288
3.288 3.288 0.000
ATOMIC_POSITIONS crystal
Na 0.000 0.000 0.000
Zr 0.500 0.500 0.500
Al 0.750 0.750 0.750
Ni 0.250 0.250 0.250

[23]
! Na2AlOsO6 PBE-GGA optimized geometry; values from VASP
! theoretical density	5.67	g cm⁻³
! E_tot	-64.41	eV per cell
! space-group type	Fm-3m, No. 225
&SYSTEM
  ibrav = 0, nat = 10, ntyp = 4
/
ATOMIC_SPECIES
Na 22.99 Na.upf
Al 26.98 Al.upf
Os 190.23 Os.upf
O 16.00 O.upf
CELL_PARAMETERS angstrom
0.000 3.746 3.746
3.746 0.000 3.746
3.746 3.746 0.000
ATOMIC_POSITIONS crystal
Na 0.250 0.250 0.250
Na 0.750 0.750 0.750
Al 0.000 0.000 0.000
Os 0.500 0.500 0.500
O 0.249 0.249 0.751
O 0.249 0.751 0.249
O 0.249 0.751 0.751
O 0.751 0.249 0.249
O 0.751 0.249 0.751
O 0.751 0.751 0.249